(1)
{"formula": "CsGe3C", "functional": "PBEsol", "state": "relaxed", "crystal_system": "cubic", "e_above_lowest_polymorph_ev_per_atom": 0.000, "cell": [[4.709, 0.000, 0.000], [0.000, 4.709, 0.000], [0.000, 0.000, 4.709]], "species": ["Cs", "Ge", "Ge", "Ge", "C"], "frac_coords": [[0.000, 0.000, 0.000], [0.000, 0.500, 0.500], [0.500, 0.000, 0.500], [0.500, 0.500, 0.000], [0.500, 0.500, 0.500]]}

---

(2)
{"formula": "BeRu5", "functional": "PBEsol", "state": "relaxed", "crystal_system": "tetragonal", "cell": [[2.699, 0.000, 0.000], [0.000, 2.699, 0.000], [0.000, 0.000, 10.216]], "species": ["Be", "Ru", "Ru", "Ru", "Ru", "Ru"], "frac_coords": [[0.000, 0.000, 0.000], [0.000, 0.000, 0.314], [0.000, 0.000, 0.686], [0.500, 0.500, 0.140], [0.500, 0.500, 0.500], [0.500, 0.500, 0.860]]}

---

(3)
{"formula": "NbN2Cl6", "functional": "PBEsol", "state": "relaxed", "crystal_system": "cubic", "raw_formation_energy_ev_per_fu": 4.26, "cell": [[0.000, 4.780, 4.780], [4.780, 0.000, 4.780], [4.780, 4.780, 0.000]], "species": ["Nb", "N", "N", "Cl", "Cl", "Cl", "Cl", "Cl", "Cl"], "frac_coords": [[0.000, 0.000, 0.000], [0.250, 0.250, 0.250], [0.750, 0.750, 0.750], [0.246, 0.246, 0.754], [0.246, 0.754, 0.246], [0.246, 0.754, 0.754], [0.754, 0.246, 0.246], [0.754, 0.246, 0.754], [0.754, 0.754, 0.246]]}

---

(4)
{"formula": "SrZn2WI", "functional": "PBEsol", "state": "relaxed", "crystal_system": "tetragonal", "raw_formation_energy_ev_per_fu": 6.92, "cell": [[5.308, 0.000, 0.000], [0.000, 5.308, 0.000], [0.000, 0.000, 4.970]], "species": ["Sr", "Zn", "Zn", "W", "I"], "frac_coords": [[0.000, 0.000, 0.000], [0.000, 0.500, 0.500], [0.500, 0.000, 0.500], [0.500, 0.500, 0.000], [0.500, 0.500, 0.500]]}

---

(5)
{"formula": "Zn2GeAsN", "functional": "PBEsol", "state": "relaxed", "crystal_system": "tetragonal", "raw_formation_energy_ev_per_fu": 7.72, "cell": [[4.587, 0.000, 0.000], [0.000, 4.587, 0.000], [0.000, 0.000, 4.974]], "species": ["Zn", "Zn", "Ge", "As", "N"], "frac_coords": [[0.000, 0.500, 0.000], [0.500, 0.000, 0.000], [0.000, 0.000, 0.000], [0.000, 0.000, 0.500], [0.500, 0.500, 0.500]]}

---

(6)
{"formula": "La2FeTc", "functional": "PBEsol", "state": "relaxed", "crystal_system": "monoclinic", "e_above_lowest_polymorph_ev_per_atom": 0.055, "cell": [[4.536, 0.000, 0.000], [0.000, 3.947, 0.000], [-2.188, 0.000, 5.179]], "species": ["La", "La", "Fe", "Tc"], "frac_coords": [[0.000, 0.000, 0.000], [0.306, 0.500, 0.598], [0.746, 0.000, 0.403], [0.580, 0.500, 0.214]]}

---

DOS at the Fermi energy readings, ordered: 0.637 0.888 1.306 0.977 0.675 1.139 states/eV per atom
E_tot readings, ordered: -3.954 -9.147 -3.962 -2.731 -2.804 -7.569 eV per atom